# Rb4Ac3CoO8

A relaxed Rb4Ac3CoO8 crystal (PBE with a Hubbard U, Alexandria).

Cell and atoms, written as POSCAR:
```
Rb4Ac3CoO8
1.0
6.846 -3.608 0.000
6.846 3.608 0.000
-3.533 0.000 6.778
Rb Ac Co O
4 3 1 8
direct
0.000 0.000 0.000
0.000 0.500 0.000
0.500 0.000 0.000
0.500 0.500 0.000
0.000 0.000 0.500
0.000 0.500 0.500
0.500 0.000 0.500
0.500 0.500 0.500
0.207 0.207 0.685
0.209 0.209 0.260
0.272 0.660 0.640
0.340 0.728 0.360
0.660 0.272 0.640
0.728 0.340 0.360
0.791 0.791 0.740
0.793 0.793 0.315
```

Total energy ... -5.877 eV per atom
Density ... 6.00 Mg/m³
Space-group type ... C2/m, No. 12